# Sb2MoOs

Sb2MoOs after structural relaxation (PBE-GGA, the Alexandria database).

CIF file:
```
data_Sb2MoOs
_cell_length_a 3.1812
_cell_length_b 3.1812
_cell_length_c 25.2784
_cell_angle_alpha 90.00
_cell_angle_beta 90.00
_cell_angle_gamma 120.00
_space_group_name_H-M_alt 'R -3 m'
_space_group_IT_number 166
_space_group_name_Hall '-R 3 2"'
loop_
_atom_site_label
_atom_site_fract_x
_atom_site_fract_y
_atom_site_fract_z
Sb1 0.0000 0.0000 0.2482
Mo1 0.0000 0.0000 0.0000
Os1 0.0000 0.0000 0.5000
```

Results
Its excess energy over the best structure of this formula in the dataset is 35.0 kJ per mole of atoms. The formation energy (no corrections) comes out at 524 meV/atom. The energy comes out at -7.052 eV per atom.


# Sb2MoOs

Sb2MoOs after structural relaxation (PBE-GGA, the Alexandria database).

CIF file:
```
data_Sb2MoOs
_cell_length_a 4.2291
_cell_length_b 4.2291
_cell_length_c 8.3375
_cell_angle_alpha 90.00
_cell_angle_beta 90.00
_cell_angle_gamma 90.00
_space_group_name_H-M_alt 'I -4 m 2'
_space_group_IT_number 119
_space_group_name_Hall 'I -4 -2'
loop_
_atom_site_label
_atom_site_fract_x
_atom_site_fract_y
_atom_site_fract_z
Sb1 0.0000 0.0000 0.0000
Sb2 0.0000 0.5000 0.2500
Mo1 0.0000 0.5000 0.7500
Os1 0.0000 0.0000 0.5000
```

Results
Its excess energy over the best structure of this formula in the dataset is 51.1 kJ per mole of atoms. The formation energy (no corrections) comes out at 691 meV/atom. The energy comes out at -6.886 eV per atom.


# Sb2MoOs

Sb2MoOs after structural relaxation (PBE-GGA, the Alexandria database).

CIF file:
```
data_Sb2MoOs
_cell_length_a 6.7367
_cell_length_b 6.7367
_cell_length_c 6.7367
_cell_angle_alpha 90.00
_cell_angle_beta 90.00
_cell_angle_gamma 90.00
_space_group_name_H-M_alt 'F -4 3 m'
_space_group_IT_number 216
_space_group_name_Hall 'F -4 2 3'
loop_
_atom_site_label
_atom_site_fract_x
_atom_site_fract_y
_atom_site_fract_z
Sb1 0.0000 0.0000 0.0000
Sb2 0.2500 0.2500 0.2500
Mo1 0.2500 0.2500 0.7500
Os1 0.0000 0.0000 0.5000
```

Results
Its excess energy over the best structure of this formula in the dataset is 69.2 kJ per mole of atoms. The formation energy (no corrections) comes out at 878 meV/atom. The energy comes out at -6.698 eV per atom.


# Sb2MoOs

Sb2MoOs after structural relaxation (PBE-GGA, the Alexandria database).

CIF file:
```
data_Sb2MoOs
_cell_length_a 6.5745
_cell_length_b 6.5745
_cell_length_c 6.5745
_cell_angle_alpha 90.00
_cell_angle_beta 90.00
_cell_angle_gamma 90.00
_space_group_name_H-M_alt 'F m -3 m'
_space_group_IT_number 225
_space_group_name_Hall '-F 4 2 3'
loop_
_atom_site_label
_atom_site_fract_x
_atom_site_fract_y
_atom_site_fract_z
Sb1 0.2500 0.2500 0.2500
Mo1 0.0000 0.0000 0.0000
Os1 0.0000 0.0000 0.5000
```

Results
Its excess energy over the best structure of this formula in the dataset is 20.3 kJ per mole of atoms. The formation energy (no corrections) comes out at 371 meV/atom. The energy comes out at -7.205 eV per atom.